#A
An optimized crystal structure of Tc2SnAs2, computed with GGA-PBE.

Total magnetic moment in μB per cell: 0.00

abc: 7.440 7.440 3.082
angles: 90.00 90.00 90.00
Space group P4/mbm (No. 127)
Asymmetric unit:
Tc: 0.144 0.356 0.000 (multiplicity 4)
Sn: 0.000 0.000 0.000 (multiplicity 2)
As: 0.140 0.640 0.500 (multiplicity 4)

#B
An optimized crystal structure of Tc2SnAs2, computed with GGA-PBE.

Total magnetic moment in μB per cell: 0.00

abc: 3.843 3.843 12.111
angles: 90.00 90.00 90.00
Space group I4/mmm (No. 139)
Asymmetric unit:
Tc: 0.000 0.000 0.117 (multiplicity 4)
Sn: 0.000 0.000 0.500 (multiplicity 2)
As: 0.000 0.500 0.250 (multiplicity 4)

#C
An optimized crystal structure of Tc2SnAs2, computed with GGA-PBE.

Total magnetic moment in μB per cell: 0.00

abc: 7.584 7.584 3.004
angles: 90.00 90.00 90.00
Space group P4/mbm (No. 127)
Asymmetric unit:
Tc: 0.146 0.354 0.000 (multiplicity 4)
Sn: 0.000 0.000 0.500 (multiplicity 2)
As: 0.137 0.637 0.500 (multiplicity 4)

Winner for stability: #A

#A
An optimized crystal structure of Sn3TeAs, computed with GGA-PBE.

Total magnetic moment in μB per cell: 0.00

abc: 8.752 17.249 9.610
angles: 90.00 112.13 90.00
Space group C2/c (No. 15)
Asymmetric unit:
Sn: 0.019 0.074 0.090 (multiplicity 8)
Sn: 0.145 0.450 0.520 (multiplicity 8)
Sn: 0.156 0.223 0.604 (multiplicity 8)
Te: 0.000 0.110 0.750 (multiplicity 4)
Te: 0.000 0.345 0.250 (multiplicity 4)
As: 0.146 0.357 0.754 (multiplicity 8)

#B
An optimized crystal structure of Sn3TeAs, computed with GGA-PBE.

Total magnetic moment in μB per cell: 0.00

abc: 5.486 5.486 5.486
angles: 90.00 90.00 90.00
Space group Pm-3m (No. 221)
Asymmetric unit:
Sn: 0.000 0.000 0.500 (multiplicity 3)
Te: 0.500 0.500 0.500 (multiplicity 1)
As: 0.000 0.000 0.000 (multiplicity 1)

#C
An optimized crystal structure of Sn3TeAs, computed with GGA-PBE.

Total magnetic moment in μB per cell: 0.00

abc: 5.805 5.805 5.805
angles: 90.00 90.00 90.00
Space group Pm-3m (No. 221)
Asymmetric unit:
Sn: 0.000 0.000 0.500 (multiplicity 3)
Te: 0.000 0.000 0.000 (multiplicity 1)
As: 0.500 0.500 0.500 (multiplicity 1)

Winner for stability: #A

#A
An optimized crystal structure of Sn3Te2As, computed with GGA-PBE.

Total magnetic moment in μB per cell: 0.00

abc: 13.989 6.151 8.700
angles: 90.00 108.02 90.00
Space group C2/c (No. 15)
Asymmetric unit:
Sn: 0.000 0.011 0.250 (multiplicity 4)
Sn: 0.146 0.498 0.073 (multiplicity 8)
Te: 0.172 0.002 0.586 (multiplicity 8)
As: 0.000 0.492 0.250 (multiplicity 4)

#B
An optimized crystal structure of Sn3Te2As, computed with GGA-PBE.

Total magnetic moment in μB per cell: 0.00

abc: 4.351 4.351 18.908
angles: 90.00 90.00 90.00
Space group I4/mmm (No. 139)
Asymmetric unit:
Sn: 0.000 0.000 0.000 (multiplicity 2)
Sn: 0.000 0.000 0.350 (multiplicity 4)
Te: 0.000 0.000 0.169 (multiplicity 4)
As: 0.000 0.000 0.500 (multiplicity 2)

Winner for stability: #A

#A
An optimized crystal structure of SnTe3As, computed with GGA-PBE.

Total magnetic moment in μB per cell: 0.00

abc: 6.777 5.280 11.557
angles: 90.00 100.51 90.00
Space group P2_1/m (No. 11)
Asymmetric unit:
Sn: 0.017 0.250 0.297 (multiplicity 2)
Te: 0.163 0.250 0.610 (multiplicity 2)
Te: 0.235 0.750 0.264 (multiplicity 2)
Te: 0.355 0.750 0.886 (multiplicity 2)
As: 0.417 0.250 0.816 (multiplicity 2)

#B
An optimized crystal structure of SnTe3As, computed with GGA-PBE.

Total magnetic moment in μB per cell: 0.00

abc: 5.450 5.450 5.450
angles: 90.00 90.00 90.00
Space group Pm-3m (No. 221)
Asymmetric unit:
Sn: 0.000 0.000 0.000 (multiplicity 1)
Te: 0.000 0.500 0.500 (multiplicity 3)
As: 0.500 0.500 0.500 (multiplicity 1)

#C
An optimized crystal structure of SnTe3As, computed with GGA-PBE.

Total magnetic moment in μB per cell: 0.00

abc: 5.637 5.637 5.637
angles: 90.00 90.00 90.00
Space group Pm-3m (No. 221)
Asymmetric unit:
Sn: 0.000 0.000 0.000 (multiplicity 1)
Te: 0.000 0.000 0.500 (multiplicity 3)
As: 0.500 0.500 0.500 (multiplicity 1)

#D
An optimized crystal structure of SnTe3As, computed with GGA-PBE.

Total magnetic moment in μB per cell: 0.00

abc: 7.632 4.106 10.721
angles: 90.00 104.05 90.00
Space group P2_1/m (No. 11)
Asymmetric unit:
Sn: 0.228 0.250 0.497 (multiplicity 2)
Te: 0.020 0.750 0.320 (multiplicity 2)
Te: 0.272 0.750 0.005 (multiplicity 2)
Te: 0.484 0.750 0.678 (multiplicity 2)
As: 0.381 0.250 0.853 (multiplicity 2)

Winner for stability: #D

#A
An optimized crystal structure of ThSnAs2, computed with GGA-PBE.

Total magnetic moment in μB per cell: 0.00

abc: 3.8619 3.8619 27.2986
angles: 90.00 90.00 120.00
Space group R-3m (No. 166, hexagonal axes)
Asymmetric unit:
Th: 0.0000 0.0000 0.0000 (multiplicity 3)
Sn: 0.0000 0.0000 0.5000 (multiplicity 3)
As: 0.0000 0.0000 0.1058 (multiplicity 6)

#B
An optimized crystal structure of ThSnAs2, computed with GGA-PBE.

Total magnetic moment in μB per cell: 0.00

abc: 4.866 4.866 3.909
angles: 90.00 90.00 90.00
Space group P4/mmm (No. 123)
Asymmetric unit:
Th: 0.000 0.000 0.000 (multiplicity 1)
Sn: 0.500 0.500 0.000 (multiplicity 1)
As: 0.000 0.500 0.500 (multiplicity 2)

Winner for stability: #B

#A
An optimized crystal structure of TlSnAs, computed with GGA-PBE.

Total magnetic moment in μB per cell: 0.00

abc: 3.697 3.697 12.041
angles: 90.00 90.00 90.00
Space group I4mm (No. 107)
Asymmetric unit:
Tl: 0.000 0.000 0.000 (multiplicity 2)
Sn: 0.000 0.000 0.288 (multiplicity 2)
As: 0.000 0.000 0.685 (multiplicity 2)

#B
An optimized crystal structure of TlSnAs, computed with GGA-PBE.

Total magnetic moment in μB per cell: 0.00

abc: 4.0908 4.0908 19.0387
angles: 90.00 90.00 120.00
Space group R3m (No. 160, hexagonal axes)
Asymmetric unit:
Tl: 0.0000 0.0000 0.0000 (multiplicity 3)
Sn: 0.0000 0.0000 0.1926 (multiplicity 3)
As: 0.0000 0.0000 0.7855 (multiplicity 3)

Winner for stability: #B

#A
An optimized crystal structure of TlSnAs, computed with GGA-PBE.

Total magnetic moment in μB per cell: 0.00

abc: 7.161 7.161 7.161
angles: 90.00 90.00 90.00
Space group F-43m (No. 216)
Asymmetric unit:
Tl: 0.000 0.000 0.000 (multiplicity 4)
Sn: 0.000 0.000 0.500 (multiplicity 4)
As: 0.250 0.250 0.250 (multiplicity 4)

#B
An optimized crystal structure of TlSnAs, computed with GGA-PBE.

Total magnetic moment in μB per cell: 0.00

abc: 7.050 4.074 6.761
angles: 90.00 110.33 90.00
Space group Cm (No. 8)
Asymmetric unit:
Tl: 0.000 0.000 0.000 (multiplicity 2)
Sn: 0.191 0.000 0.570 (multiplicity 2)
As: 0.449 0.000 0.344 (multiplicity 2)

#C
An optimized crystal structure of TlSnAs, computed with GGA-PBE.

Total magnetic moment in μB per cell: 0.00

abc: 4.106 6.740 6.726
angles: 90.00 107.16 90.00
Space group P2_1 (No. 4)
Asymmetric unit:
Tl: 0.063 0.000 0.101 (multiplicity 2)
Sn: 0.325 0.851 0.653 (multiplicity 2)
As: 0.306 0.260 0.618 (multiplicity 2)

Winner for stability: #C

#A
An optimized crystal structure of TlSnAs, computed with GGA-PBE.

Total magnetic moment in μB per cell: 0.00

abc: 4.1043 4.1043 6.0402
angles: 90.00 90.00 120.00
Space group P3m1 (No. 156)
Asymmetric unit:
Tl: 0.0000 0.0000 0.0000 (multiplicity 1)
Sn: 0.3333 0.6667 0.5825 (multiplicity 1)
As: 0.6667 0.3333 0.3513 (multiplicity 1)

#B
An optimized crystal structure of TlSnAs, computed with GGA-PBE.

Total magnetic moment in μB per cell: 0.00

abc: 4.196 6.785 7.116
angles: 67.85 73.01 72.16
Space group P-1 (No. 2)
Asymmetric unit:
Tl: 0.095 0.219 0.093 (multiplicity 2)
Sn: 0.384 0.256 0.477 (multiplicity 2)
As: 0.257 0.717 0.267 (multiplicity 2)

#C
An optimized crystal structure of TlSnAs, computed with GGA-PBE.

Total magnetic moment in μB per cell: 0.00

abc: 4.076 8.353 5.335
angles: 90.00 90.00 90.00
Space group Pmn2_1 (No. 31)
Asymmetric unit:
Tl: 0.000 0.089 0.000 (multiplicity 2)
Sn: 0.000 0.348 0.565 (multiplicity 2)
As: 0.000 0.658 0.721 (multiplicity 2)

Winner for stability: #C

#A
An optimized crystal structure of TlSn3As, computed with GGA-PBE.

Total magnetic moment in μB per cell: 0.00

abc: 5.641 5.641 5.641
angles: 90.00 90.00 90.00
Space group Pm-3m (No. 221)
Asymmetric unit:
Tl: 0.000 0.000 0.000 (multiplicity 1)
Sn: 0.000 0.000 0.500 (multiplicity 3)
As: 0.500 0.500 0.500 (multiplicity 1)

#B
An optimized crystal structure of TlSn3As, computed with GGA-PBE.

Total magnetic moment in μB per cell: 0.00

abc: 5.500 5.500 5.500
angles: 90.00 90.00 90.00
Space group Pm-3m (No. 221)
Asymmetric unit:
Tl: 0.000 0.000 0.000 (multiplicity 1)
Sn: 0.000 0.500 0.500 (multiplicity 3)
As: 0.500 0.500 0.500 (multiplicity 1)

Winner for stability: #B

#A
An optimized crystal structure of U2SnAs, computed with GGA-PBE.

Total magnetic moment in μB per cell: 6.16

abc: 5.623 5.623 2.960
angles: 90.00 90.00 90.00
Space group P4/mmm (No. 123)
Asymmetric unit:
U: 0.000 0.500 0.000 (multiplicity 2)
Sn: 0.000 0.000 0.500 (multiplicity 1)
As: 0.500 0.500 0.500 (multiplicity 1)

#B
An optimized crystal structure of U2SnAs, computed with GGA-PBE.

Total magnetic moment in μB per cell: 16.70

abc: 3.8938 3.8938 24.1999
angles: 90.00 90.00 120.00
Space group R-3m (No. 166, hexagonal axes)
Asymmetric unit:
U: 0.0000 0.0000 0.2409 (multiplicity 6)
Sn: 0.0000 0.0000 0.0000 (multiplicity 3)
As: 0.0000 0.0000 0.5000 (multiplicity 3)

Winner for stability: #A